No. 1
NaInGaSn2 | PBE | optimized geometry

Properties
energy relative to the elements = 3.03 eV per formula unit
density of states at the Fermi level = 3.933 states/eV/cell

Cell: 5.4636 5.4636 5.4511 Å, 90.00 90.00 90.00°
Last column: nearest neighbours and their distance in Å.
Fractional positions:
Na: 0.0000 0.0000 0.0000  2 In 2.73, 4 Sn 2.73
In: 0.0000 0.0000 0.5000  2 Na 2.73
Ga: 0.5000 0.5000 0.5000  8 Sn 3.86, 4 In 3.86
Sn: 0.0000 0.5000 0.0000  2 Na 2.73
Sn: 0.5000 0.0000 0.0000  2 Na 2.73

---

No. 2
CoAsPt2 | PBE | optimized geometry

Properties
energy relative to the elements = 0.24 eV per formula unit
density of states at the Fermi level = 4.221 states/eV/cell

Cell: 8.8155 8.8155 8.8155 Å, 18.58 18.58 18.58°
Last column: nearest neighbours and their distance in Å.
Fractional positions:
Co: 0.0000 0.0000 0.0000  6 Pt 2.64, 6 Co 2.85
As: 0.5000 0.5000 0.5000  6 Pt 2.79, 6 As 2.85
Pt: 0.2536 0.2536 0.2536  3 Co 2.64, 3 As 2.79, 6 Pt 2.85
Pt: 0.7464 0.7464 0.7464  3 Co 2.64, 3 As 2.79, 6 Pt 2.85

---

No. 3
La6DyTh | PBE | optimized geometry

Properties
energy relative to the elements = 0.24 eV per formula unit
density of states at the Fermi level = 12.729 states/eV/cell

Cell: 5.1976 5.1976 10.4074 Å, 90.00 90.00 90.00°
Last column: nearest neighbours and their distance in Å.
Fractional positions:
La: 0.0000 0.0000 0.0000  8 La 3.64, 4 Th 3.68
La: 0.0000 0.0000 0.5000  4 Dy 3.68, 8 La 3.71
La: 0.0000 0.5000 0.2451  8 La 3.64-3.71, 2 Th 3.64, 2 Dy 3.71
La: 0.0000 0.5000 0.7549  8 La 3.64-3.71, 2 Th 3.64, 2 Dy 3.71
La: 0.5000 0.0000 0.2451  8 La 3.64-3.71, 2 Th 3.64, 2 Dy 3.71
La: 0.5000 0.0000 0.7549  8 La 3.64-3.71, 2 Th 3.64, 2 Dy 3.71
Dy: 0.5000 0.5000 0.5000  12 La 3.68-3.71
Th: 0.5000 0.5000 0.0000  12 La 3.64-3.68

---

No. 4
CaTa | PBE | optimized geometry

Properties
energy relative to the elements = 0.71 eV per formula unit
density of states at the Fermi level = 4.231 states/eV/cell

Cell: 3.5806 3.5806 8.5171 Å, 90.00 90.00 90.00°
Last column: nearest neighbours and their distance in Å.
Fractional positions:
Ca: 0.2500 0.2500 0.1797  5 Ta 3.26-3.35, 4 Ca 3.58
Ca: 0.7500 0.7500 0.8203  5 Ta 3.26-3.35, 4 Ca 3.58
Ta: 0.2500 0.2500 0.5620  4 Ta 2.74
Ta: 0.7500 0.7500 0.4380  4 Ta 2.74

---

No. 5
ScHgPb2 | PBE | optimized geometry

Properties
energy relative to the elements = -0.60 eV per formula unit
density of states at the Fermi level = 2.883 states/eV/cell

Cell: 3.4764 3.4764 8.8217 Å, 90.00 90.00 90.00°
Last column: nearest neighbours and their distance in Å.
Fractional positions:
Sc: 0.0000 0.0000 0.0000  4 Hg 3.00, 4 Pb 3.26
Hg: 0.5000 0.5000 0.1942  4 Sc 3.00
Pb: 0.0000 0.0000 0.4534  4 Hg 3.36, 8 Pb 3.48-3.64
Pb: 0.5000 0.5000 0.7570  4 Sc 3.26, 8 Pb 3.48-3.64

---

No. 6
Sr3TlBi | PBE | optimized geometry

Properties
energy relative to the elements = -1.35 eV per formula unit
density of states at the Fermi level = 8.540 states/eV/cell

Cell: 6.3742 6.3742 6.3742 Å, 90.00 90.00 90.00°
Last column: nearest neighbours and their distance in Å.
Fractional positions:
Sr: 0.0000 0.0000 0.5000  2 Bi 3.19
Sr: 0.0000 0.5000 0.0000  2 Bi 3.19
Sr: 0.5000 0.0000 0.0000  2 Bi 3.19
Tl: 0.5000 0.5000 0.5000  12 Sr 4.51
Bi: 0.0000 0.0000 0.0000  6 Sr 3.19

---

No. 7
Dy2Er3Tm2 | PBE | optimized geometry

Properties
energy relative to the elements = 0.16 eV per formula unit
density of states at the Fermi level = 9.501 states/eV/cell

Cell: 6.0649 6.0649 7.8327 Å, 97.46 97.46 48.21°
Last column: nearest neighbours and their distance in Å.
Fractional positions:
Dy: 0.2143 0.2143 0.1431  6 Er 3.50, 4 Tm 3.50-3.51, 2 Dy 3.51
Dy: 0.7857 0.7857 0.8569  6 Er 3.50, 4 Tm 3.50-3.51, 2 Dy 3.51
Er: 0.3572 0.3572 0.5715  5 Tm 3.50, 3 Dy 3.50, 4 Er 3.50
Er: 0.5000 0.5000 0.0000  2 Er 3.50, 6 Dy 3.50, 4 Tm 3.51
Er: 0.6428 0.6428 0.4285  5 Tm 3.50, 3 Dy 3.50, 4 Er 3.50
Tm: 0.0715 0.0715 0.7134  1 Tm 3.49, 7 Er 3.50-3.51, 4 Dy 3.50-3.51
Tm: 0.9285 0.9285 0.2866  1 Tm 3.49, 7 Er 3.50-3.51, 4 Dy 3.50-3.51

---

No. 8
Ca2Zn2Co | PBE | optimized geometry

Properties
energy relative to the elements = 0.29 eV per formula unit
density of states at the Fermi level = 9.090 states/eV/cell

Cell: 6.8049 6.8049 4.6784 Å, 90.00 90.00 90.00°
Last column: nearest neighbours and their distance in Å.
Fractional positions:
Ca: 0.1809 0.3191 0.0000  6 Zn 2.93-3.20
Ca: 0.3191 0.8191 0.0000  6 Zn 2.93-3.20
Ca: 0.6809 0.1809 0.0000  6 Zn 2.93-3.20
Ca: 0.8191 0.6809 0.0000  6 Zn 2.93-3.20
Zn: 0.1365 0.6365 0.5000  1 Zn 2.63, 2 Co 2.64, 2 Ca 2.93
Zn: 0.3635 0.1365 0.5000  1 Zn 2.63, 2 Co 2.64, 2 Ca 2.93
Zn: 0.6365 0.8635 0.5000  1 Zn 2.63, 2 Co 2.64, 2 Ca 2.93
Zn: 0.8635 0.3635 0.5000  1 Zn 2.63, 2 Co 2.64, 2 Ca 2.93
Co: 0.0000 0.0000 0.5000  4 Zn 2.64
Co: 0.5000 0.5000 0.5000  4 Zn 2.64

---

No. 9
Rb2ScBiO | PBE | optimized geometry

Properties
uncorrected formation energy = 0.285 eV per atom
density of states at the Fermi level = 14.609 states/eV/cell

Cell: 7.1256 7.1256 5.5154 Å, 90.00 90.00 90.00°
Last column: nearest neighbours and their distance in Å.
Fractional positions:
Rb: 0.0000 0.5000 0.0000  2 Bi 3.56
Rb: 0.5000 0.0000 0.0000  2 Bi 3.56
Sc: 0.0000 0.0000 0.5000  2 Bi 2.76
Bi: 0.0000 0.0000 0.0000  2 Sc 2.76
O: 0.5000 0.5000 0.5000  8 Rb 4.51, 4 Sc 5.04

---

No. 10
Tb2DyTl | PBE | optimized geometry

Properties
energy relative to the elements = -0.49 eV per formula unit
density of states at the Fermi level = 7.706 states/eV/cell

Cell: 11.1964 11.1964 4.7922 Å, 90.00 90.00 156.00°
Last column: nearest neighbours and their distance in Å.
Fractional positions:
Tb: 0.0587 0.9413 0.7500  2 Tl 3.30, 8 Tb 3.35-3.60
Tb: 0.4331 0.5669 0.7500  2 Tl 3.22, 6 Tb 3.35-3.60
Tb: 0.5669 0.4331 0.2500  2 Tl 3.22, 6 Tb 3.35-3.60
Tb: 0.9413 0.0587 0.2500  2 Tl 3.30, 8 Tb 3.35-3.60
Dy: 0.1939 0.8061 0.2500  5 Tl 3.08-3.40
Dy: 0.8061 0.1939 0.7500  5 Tl 3.08-3.40
Tl: 0.3346 0.6654 0.2500  5 Dy 3.08-3.40, 4 Tb 3.22-3.30
Tl: 0.6654 0.3346 0.7500  5 Dy 3.08-3.40, 4 Tb 3.22-3.30

---

No. 11
LiMgPOs2 | PBE | optimized geometry

Properties
energy relative to the elements = 8.95 eV per formula unit
density of states at the Fermi level = 2.971 states/eV/cell

Cell: 4.5981 4.5981 3.6506 Å, 90.00 90.00 90.00°
Last column: nearest neighbours and their distance in Å.
Fractional positions:
Li: 0.0000 0.0000 0.0000  2 Mg 1.83
Mg: 0.0000 0.0000 0.5000  2 Li 1.83
P: 0.5000 0.5000 0.0000  8 Os 2.94, 4 Li 3.25
Os: 0.0000 0.5000 0.5000  2 Mg 2.30
Os: 0.5000 0.0000 0.5000  2 Mg 2.30

---

No. 12
PuAlZn4 | PBE | optimized geometry

Properties
energy relative to the elements = -0.26 eV per formula unit
density of states at the Fermi level = 23.235 states/eV/cell

Cell: 6.9958 4.3071 7.3377 Å, 90.00 90.00 90.00°
Last column: nearest neighbours and their distance in Å.
Fractional positions:
Pu: 0.2500 0.0000 0.1408  1 Al 2.95, 8 Zn 3.05-3.16
Pu: 0.7500 0.0000 0.8592  1 Al 2.95, 8 Zn 3.05-3.16
Al: 0.2500 0.0000 0.7384  6 Zn 2.47-2.62
Al: 0.7500 0.0000 0.2616  6 Zn 2.47-2.62
Zn: 0.0000 0.0000 0.5000  2 Al 2.47
Zn: 0.0568 0.5000 0.8266  2 Al 2.62, 3 Zn 2.67-2.90
Zn: 0.2500 0.5000 0.4400  8 Zn 2.81-3.14, 2 Al 3.07, 2 Pu 3.08
Zn: 0.4432 0.5000 0.8266  2 Al 2.62, 3 Zn 2.67-2.90
Zn: 0.5000 0.0000 0.5000  2 Al 2.47
Zn: 0.5568 0.5000 0.1734  2 Al 2.62, 3 Zn 2.67-2.90
Zn: 0.7500 0.5000 0.5599  8 Zn 2.81-3.14, 2 Al 3.07, 2 Pu 3.08
Zn: 0.9432 0.5000 0.1734  2 Al 2.62, 3 Zn 2.67-2.90

---

No. 13
ZnCd4Ag4 | PBE | optimized geometry

Properties
energy relative to the elements = -0.22 eV per formula unit
density of states at the Fermi level = 1.876 states/eV/cell

Cell: 6.6969 6.6969 6.6969 Å, 95.73 95.73 143.15°
Last column: nearest neighbours and their distance in Å.
Fractional positions:
Zn: 0.0000 0.0000 0.0000  4 Cd 2.91, 8 Ag 2.96
Cd: 0.0000 0.3234 0.3234  1 Zn 2.91, 6 Ag 2.95-3.04, 5 Cd 3.08-3.17
Cd: 0.0000 0.6766 0.6766  1 Zn 2.91, 6 Ag 2.95-3.04, 5 Cd 3.08-3.17
Cd: 0.3234 0.0000 0.3234  1 Zn 2.91, 6 Ag 2.95-3.04, 5 Cd 3.08-3.17
Cd: 0.6766 0.0000 0.6766  1 Zn 2.91, 6 Ag 2.95-3.04, 5 Cd 3.08-3.17
Ag: 0.3375 0.3375 0.6750  4 Ag 2.92-3.07, 6 Cd 2.95-3.04, 2 Zn 2.96
Ag: 0.3375 0.6625 0.0000  4 Ag 2.92-3.07, 6 Cd 2.95-3.04, 2 Zn 2.96
Ag: 0.6625 0.3375 0.0000  4 Ag 2.92-3.07, 6 Cd 2.95-3.04, 2 Zn 2.96
Ag: 0.6625 0.6625 0.3250  4 Ag 2.92-3.07, 6 Cd 2.95-3.04, 2 Zn 2.96

---

No. 14
Na2Al3AgF12 | PBE | optimized geometry

Properties
uncorrected formation energy = -3.086 eV per atom
density of states at the Fermi level = 0.000 states/eV/cell

Cell: 7.0188 7.0188 7.0188 Å, 60.70 60.70 60.70°
Last column: nearest neighbours and their distance in Å.
Fractional positions:
Na: 0.1531 0.1531 0.1531  3 F 2.24
Na: 0.8469 0.8469 0.8469  3 F 2.24
Al: 0.0000 0.5000 0.5000  6 F 1.78-1.85
Al: 0.5000 0.0000 0.5000  6 F 1.78-1.85
Al: 0.5000 0.5000 0.0000  6 F 1.78-1.85
Ag: 0.5000 0.5000 0.5000  6 F 2.53
F: 0.0648 0.6227 0.6227  1 Al 1.78
F: 0.2195 0.2195 0.5941  2 Al 1.85
F: 0.2195 0.5941 0.2195  2 Al 1.85
F: 0.3773 0.3773 0.9352  1 Al 1.78
F: 0.3773 0.9352 0.3773  1 Al 1.78
F: 0.4059 0.7805 0.7805  2 Al 1.85
F: 0.5941 0.2195 0.2195  2 Al 1.85
F: 0.6227 0.0648 0.6227  1 Al 1.78
F: 0.6227 0.6227 0.0648  1 Al 1.78
F: 0.7805 0.4059 0.7805  2 Al 1.85
F: 0.7805 0.7805 0.4059  2 Al 1.85
F: 0.9352 0.3773 0.3773  1 Al 1.78

---

No. 15
PmPr3Pb2 | PBE | optimized geometry

Properties
energy relative to the elements = -1.22 eV per formula unit
density of states at the Fermi level = 17.540 states/eV/cell

Cell: 9.3342 9.3342 9.3342 Å, 131.92 72.16 129.66°
Last column: nearest neighbours and their distance in Å.
Fractional positions:
Pm: 0.0000 0.0000 0.0000  2 Pb 3.22
Pm: 0.5000 0.5000 0.0000  2 Pb 3.22
Pr: 0.0392 0.2500 0.7892  4 Pb 3.29
Pr: 0.2500 0.7500 0.5000  4 Pb 3.23
Pr: 0.4608 0.2500 0.2108  4 Pb 3.29
Pr: 0.5392 0.7500 0.7892  4 Pb 3.29
Pr: 0.7500 0.2500 0.5000  4 Pb 3.23
Pr: 0.9608 0.7500 0.2108  4 Pb 3.29
Pb: 0.1417 0.6828 0.8245  1 Pm 3.22, 6 Pr 3.23-3.29
Pb: 0.3583 0.1828 0.5411  1 Pm 3.22, 6 Pr 3.23-3.29
Pb: 0.6417 0.8172 0.4589  1 Pm 3.22, 6 Pr 3.23-3.29
Pb: 0.8583 0.3172 0.1755  1 Pm 3.22, 6 Pr 3.23-3.29

---

No. 16
PdPtS | PBE | optimized geometry

Properties
uncorrected formation energy = -0.012 eV per atom
density of states at the Fermi level = 1.689 states/eV/cell

Cell: 4.0027 6.8877 4.1441 Å, 90.00 111.50 90.00°
Last column: nearest neighbours and their distance in Å.
Fractional positions:
Pd: 0.0000 0.0000 0.0000  3 S 2.38-2.54
Pd: 0.3393 0.5000 0.1419  2 S 2.37
Pt: 0.9748 0.2648 0.4830  2 S 2.28
Pt: 0.9748 0.7352 0.4830  2 S 2.28
S: 0.3420 0.0000 0.6053  2 Pt 2.28, 3 Pd 2.38-2.54
S: 0.7443 0.5000 0.7270  2 Pt 2.28, 2 Pd 2.37

---

No. 17
TbHgPd | PBE | optimized geometry

Properties
energy relative to the elements = -2.03 eV per formula unit
density of states at the Fermi level = 1.108 states/eV/cell

Cell: 5.3497 5.3497 5.3497 Å, 139.15 139.15 59.15°
Last column: nearest neighbours and their distance in Å.
Fractional positions:
Tb: 0.0000 0.0000 0.0000  5 Hg 3.01-3.11, 5 Pd 3.01-3.21
Hg: 0.6767 0.6767 0.0000  5 Tb 3.01-3.11, 5 Pd 3.07-3.09
Pd: 0.3448 0.3448 0.0000  5 Tb 3.01-3.21, 5 Hg 3.07-3.09

---

No. 18
Ti2NbIr2 | PBE | optimized geometry

Properties
energy relative to the elements = -2.77 eV per formula unit
density of states at the Fermi level = 8.759 states/eV/cell

Cell: 7.4736 7.4736 2.8761 Å, 90.00 90.00 90.00°
Last column: nearest neighbours and their distance in Å.
Fractional positions:
Ti: 0.1497 0.3503 0.0000  6 Ir 2.56-2.66, 2 Nb 2.85
Ti: 0.3503 0.8503 0.0000  6 Ir 2.56-2.66, 2 Nb 2.85
Ti: 0.6497 0.1497 0.0000  6 Ir 2.56-2.66, 2 Nb 2.85
Ti: 0.8503 0.6497 0.0000  6 Ir 2.56-2.66, 2 Nb 2.85
Nb: 0.0000 0.0000 0.0000  4 Ti 2.85, 2 Nb 2.88, 8 Ir 3.19
Nb: 0.5000 0.5000 0.0000  4 Ti 2.85, 2 Nb 2.88, 8 Ir 3.19
Ir: 0.1503 0.6503 0.5000  6 Ti 2.56-2.66
Ir: 0.3497 0.1503 0.5000  6 Ti 2.56-2.66
Ir: 0.6503 0.8497 0.5000  6 Ti 2.56-2.66
Ir: 0.8497 0.3497 0.5000  6 Ti 2.56-2.66

---

No. 19
RbCd2HgAu | PBE | optimized geometry

Properties
energy relative to the elements = -0.61 eV per formula unit
density of states at the Fermi level = 2.614 states/eV/cell

Cell: 5.4143 5.4143 5.5587 Å, 90.00 90.00 90.00°
Last column: nearest neighbours and their distance in Å.
Fractional positions:
Rb: 0.0000 0.0000 0.0000  4 Hg 3.83, 8 Cd 3.88
Cd: 0.0000 0.5000 0.5000  2 Au 2.71
Cd: 0.5000 0.0000 0.5000  2 Au 2.71
Hg: 0.5000 0.5000 0.0000  2 Au 2.78
Au: 0.5000 0.5000 0.5000  4 Cd 2.71, 2 Hg 2.78

---

No. 20
Ho2CdCo | PBE | optimized geometry

Properties
energy relative to the elements = -1.08 eV per formula unit
density of states at the Fermi level = 2.372 states/eV/cell

Cell: 3.4108 3.4108 7.5993 Å, 90.00 90.00 90.00°
Last column: nearest neighbours and their distance in Å.
Fractional positions:
Ho: 0.0000 0.0000 0.2123  4 Co 2.90, 1 Ho 3.23
Ho: 0.0000 0.0000 0.7877  4 Co 2.90, 1 Ho 3.23
Cd: 0.5000 0.5000 0.5000  8 Ho 3.26, 4 Cd 3.41
Co: 0.5000 0.5000 0.0000  8 Ho 2.90

---

No. 21
SrLi4Mg8 | PBE | optimized geometry

Properties
energy relative to the elements = -0.71 eV per formula unit
density of states at the Fermi level = 6.562 states/eV/cell

Cell: 7.9549 7.9549 7.9549 Å, 96.91 96.91 139.40°
Last column: nearest neighbours and their distance in Å.
Fractional positions:
Sr: 0.0000 0.0000 0.0000  12 Mg 3.61-3.77, 8 Li 3.98
Li: 0.0000 0.0000 0.5000  2 Li 2.76, 4 Mg 2.99
Li: 0.0000 0.5000 0.0000  2 Li 2.76, 4 Mg 2.99
Li: 0.5000 0.0000 0.0000  2 Li 2.76, 4 Mg 2.99
Li: 0.5000 0.5000 0.5000  2 Li 2.76, 4 Mg 2.99
Mg: 0.0000 0.3577 0.3577  5 Mg 3.00-3.31, 4 Li 3.19
Mg: 0.0000 0.6423 0.6423  5 Mg 3.00-3.31, 4 Li 3.19
Mg: 0.2793 0.5000 0.7793  4 Li 2.99, 6 Mg 3.12-3.31
Mg: 0.3577 0.0000 0.3577  5 Mg 3.00-3.31, 4 Li 3.19
Mg: 0.5000 0.2793 0.7793  4 Li 2.99, 6 Mg 3.12-3.31
Mg: 0.5000 0.7207 0.2207  4 Li 2.99, 6 Mg 3.12-3.31
Mg: 0.6423 0.0000 0.6423  5 Mg 3.00-3.31, 4 Li 3.19
Mg: 0.7207 0.5000 0.2207  4 Li 2.99, 6 Mg 3.12-3.31